No. 1
Below is a relaxed structure of BaHoVN3, with properties calculated at the GGA-PBE level.

Lattice parameters (Å, degrees): 3.8444 6.8889 7.6801 104.84 90.00 106.20
Last column: nearest neighbours and their distance in Å.
Sites, in units of the cell vectors:
N (0.4956, 0.9913, 0.6750)  2 V 1.92
N (0.1447, 0.2895, 0.7888)  1 V 1.88
N (0.1574, 0.3148, 0.3566)  1 V 2.01
N (0.8426, 0.6852, 0.6434)  1 V 2.01
N (0.8553, 0.7105, 0.2112)  1 V 1.88
N (0.5044, 0.0087, 0.3250)  2 V 1.92
Ho (0.6561, 0.3122, 0.5725)  7 N 2.37-2.57
Ho (0.3439, 0.6878, 0.4275)  7 N 2.37-2.57
V (0.0008, 0.0016, 0.3152)  4 N 1.88-2.01
V (0.9992, 0.9984, 0.6848)  4 N 1.88-2.01
Ba (0.6432, 0.2864, 0.0765)  6 N 2.72-2.98
Ba (0.3568, 0.7136, 0.9235)  6 N 2.72-2.98

Values from the calculation:
The raw formation energy is -0.9679 eV/atom.

---

No. 2
Below is a relaxed structure of Ba3HoW2N6, with properties calculated at the GGA-PBE level.

Lattice parameters (Å, degrees): 6.2486 6.2486 7.4391 90.00 90.00 120.00
Last column: nearest neighbours and their distance in Å.
Sites, in units of the cell vectors:
Ba (0.6667, 0.3333, 0.3184)  9 N 3.13-3.33, 1 W 3.40
Ba (0.3333, 0.6667, 0.6816)  9 N 3.13-3.33, 1 W 3.40
Ba (0.0000, 0.0000, 0.0000)  6 N 2.90
Ho (0.0000, 0.0000, 0.5000)  6 N 2.38
N (0.6573, 0.8287, 0.3005)  1 W 1.84
N (0.1713, 0.3427, 0.3005)  1 W 1.84
N (0.1713, 0.8287, 0.3005)  1 W 1.84
N (0.3427, 0.1713, 0.6995)  1 W 1.84
N (0.8287, 0.6573, 0.6995)  1 W 1.84
N (0.8287, 0.1713, 0.6995)  1 W 1.84
W (0.3333, 0.6667, 0.2243)  3 N 1.84
W (0.6667, 0.3333, 0.7757)  3 N 1.84

Values from the calculation:
The raw formation energy is -0.8718 eV/atom.

---

No. 3
Below is a relaxed structure of BaHoZnN2, with properties calculated at the GGA-PBE level.

Lattice parameters (Å, degrees): 5.4401 6.0829 6.6727 91.99 90.00 90.00
Last column: nearest neighbours and their distance in Å.
Sites, in units of the cell vectors:
N (0.7169, 0.8206, 0.0041)  1 Zn 1.89
N (0.7169, 0.1794, 0.4959)  1 Zn 1.89
N (0.2831, 0.1794, 0.9959)  1 Zn 1.89
N (0.2831, 0.8206, 0.5041)  1 Zn 1.89
Ba (0.1107, 0.5000, 0.7500)  2 N 2.76
Ba (0.8893, 0.5000, 0.2500)  2 N 2.76
Zn (0.0000, 0.0000, 0.5000)  2 N 1.89
Zn (0.0000, 0.0000, 0.0000)  2 N 1.89
Ho (0.4812, 0.0000, 0.2500)  4 N 2.31-2.32
Ho (0.5188, 0.0000, 0.7500)  4 N 2.31-2.32

Values from the calculation:
The raw formation energy is -0.5572 eV/atom.

---

No. 4
Below is a relaxed structure of BaNaHo, with properties calculated at the GGA-PBE level.

Lattice parameters (Å, degrees): 3.8737 3.8737 19.1599 84.07 84.07 60.00
Last column: nearest neighbours and their distance in Å.
Sites, in units of the cell vectors:
Na (0.5180, 0.5180, 0.7361)  9 Na 3.85-3.87, 3 Ba 4.09-4.10
Na (0.2372, 0.2372, 0.5711)  9 Na 3.85-3.87, 3 Ba 4.08-4.10
Ho (0.7331, 0.7331, 0.0848)  3 Ho 3.44-3.45
Ho (0.0190, 0.0190, 0.2227)  3 Ho 3.44-3.45
Ba (0.1239, 0.1239, 0.9165)  6 Ba 3.87, 3 Ho 3.90-3.91, 3 Na 4.09-4.10
Ba (0.6283, 0.6283, 0.3909)  6 Ba 3.87, 3 Ho 3.90, 3 Na 4.08-4.10

Values from the calculation:
For the formation enthalpy at 0 K, the calculation gives 0.133 eV per atom.

---

No. 5
Below is a relaxed structure of BaNaHoSe3, with properties calculated at the GGA-PBE level.

Lattice parameters (Å, degrees): 4.3688 8.8138 9.6017 106.63 90.00 90.00
Last column: nearest neighbours and their distance in Å.
Sites, in units of the cell vectors:
Ho (0.2500, 0.6751, 0.1535)  6 Se 2.85-2.94
Ho (0.7500, 0.3249, 0.8465)  6 Se 2.85-2.94
Se (0.7500, 0.2536, 0.5294)  3 Na 2.76-2.92, 1 Ho 2.93
Se (0.7500, 0.4563, 0.1544)  3 Ho 2.85-2.92
Se (0.2500, 0.1127, 0.8763)  1 Na 2.73, 2 Ho 2.94
Se (0.2500, 0.5437, 0.8456)  3 Ho 2.85-2.92
Se (0.7500, 0.8873, 0.1237)  1 Na 2.73, 2 Ho 2.94
Se (0.2500, 0.7464, 0.4706)  3 Na 2.76-2.92, 1 Ho 2.93
Na (0.2500, 0.0905, 0.5871)  4 Se 2.73-2.92, 2 Na 2.93
Na (0.7500, 0.9095, 0.4129)  4 Se 2.73-2.92, 2 Na 2.93
Ba (0.7500, 0.7823, 0.7539)  7 Se 3.32-3.56
Ba (0.2500, 0.2177, 0.2461)  7 Se 3.32-3.56

Values from the calculation:
The raw formation energy is -1.6755 eV/atom.

---

No. 6
Below is a relaxed structure of BaNaHoTe3, with properties calculated at the GGA-PBE level.

Lattice parameters (Å, degrees): 4.6449 9.2765 10.3125 106.42 90.00 90.00
Last column: nearest neighbours and their distance in Å.
Sites, in units of the cell vectors:
Te (0.2500, 0.5474, 0.8461)  3 Ho 3.07-3.12
Te (0.7500, 0.8942, 0.1219)  1 Na 2.95, 2 Ho 3.16
Te (0.2500, 0.7373, 0.4710)  3 Na 2.99-3.15, 1 Ho 3.14
Te (0.7500, 0.2627, 0.5290)  3 Na 2.99-3.15, 1 Ho 3.14
Te (0.7500, 0.4526, 0.1539)  3 Ho 3.07-3.12
Te (0.2500, 0.1058, 0.8781)  1 Na 2.95, 2 Ho 3.16
Ho (0.2500, 0.6770, 0.1554)  6 Te 3.07-3.16
Ho (0.7500, 0.3230, 0.8446)  6 Te 3.07-3.16
Ba (0.7500, 0.7847, 0.7509)  7 Te 3.52-3.71
Ba (0.2500, 0.2153, 0.2491)  7 Te 3.52-3.71
Na (0.2500, 0.0893, 0.5883)  4 Te 2.95-3.15, 2 Na 3.12
Na (0.7500, 0.9107, 0.4117)  4 Te 2.95-3.15, 2 Na 3.12

Values from the calculation:
The raw formation energy is -1.3587 eV/atom.

---

No. 7
Below is a relaxed structure of BaNaHoTl, with properties calculated at the GGA-PBE level.

Lattice parameters (Å, degrees): 5.7925 5.7925 5.7925 60.00 60.00 60.00
Last column: nearest neighbours and their distance in Å.
Sites, in units of the cell vectors:
Ba (0.5000, 0.5000, 0.5000)  4 Na 3.55, 4 Tl 3.55
Na (0.2500, 0.2500, 0.2500)  4 Ba 3.55, 4 Ho 3.55
Tl (0.7500, 0.7500, 0.7500)  4 Ho 3.55, 4 Ba 3.55
Ho (0.0000, 0.0000, 0.0000)  4 Tl 3.55, 4 Na 3.55

Values from the calculation:
For the formation enthalpy at 0 K, the calculation gives -0.011 eV per atom.

---

No. 8
Below is a relaxed structure of Ba2HoNb3O12, with properties calculated at the GGA-PBE level.

Lattice parameters (Å, degrees): 7.1668 7.1668 7.1668 64.53 64.53 64.53
Last column: nearest neighbours and their distance in Å.
Sites, in units of the cell vectors:
O (0.3785, 0.8828, 0.8828)  1 Nb 2.01
O (0.7107, 0.0860, 0.7107)  2 Nb 1.99
O (0.8828, 0.3785, 0.8828)  1 Nb 2.01
O (0.8828, 0.8828, 0.3785)  1 Nb 2.01
O (0.7107, 0.7107, 0.0860)  2 Nb 1.99
O (0.1172, 0.6215, 0.1172)  1 Nb 2.01
O (0.2893, 0.9140, 0.2893)  2 Nb 1.99
O (0.6215, 0.1172, 0.1172)  1 Nb 2.01
O (0.0860, 0.7107, 0.7107)  2 Nb 1.99
O (0.9140, 0.2893, 0.2893)  2 Nb 1.99
O (0.1172, 0.1172, 0.6215)  1 Nb 2.01
O (0.2893, 0.2893, 0.9140)  2 Nb 1.99
Ho (0.0000, 0.0000, 0.0000)  6 O 2.34
Nb (0.5000, 0.0000, 0.0000)  6 O 1.99-2.01
Nb (0.0000, 0.0000, 0.5000)  6 O 1.99-2.01
Nb (0.0000, 0.5000, 0.0000)  6 O 1.99-2.01
Ba (0.3730, 0.3730, 0.3730)  3 O 2.68
Ba (0.6270, 0.6270, 0.6270)  3 O 2.68

Values from the calculation:
The raw formation energy is -2.5233 eV/atom.

---

The records above yield calculated density values of 6.97; 6.79; 5.95; 4.37; 5.27; 5.52; 6.40; 5.28 g/cm³, respectively.
The records above yield magnetization values of 0.0; 0.0; 0.0; 0.0; 0.0; 0.0; 0.0; 2.1 μB/f.u., respectively.